[1]
A relaxed structure of LiSiO2, computed with PBE-GGA.

E_form (uncorrected): -1798 meV/atom
Size of the total moment: 0.000 μB/atom
Symmetry: I-42d

```
LiSiO2
1.0
-2.273 2.273 4.291
2.273 -2.273 4.291
2.273 2.273 -4.291
Li Si O
2 2 4
direct
0.000 0.000 0.000
0.750 0.250 0.500
0.250 0.750 0.500
0.500 0.500 0.000
0.183 0.625 0.058
0.375 0.433 0.558
0.567 0.125 0.942
0.875 0.817 0.442
```

=====

[2]
A relaxed structure of LiSiO3, computed with PBE-GGA.

E_form (uncorrected): -1967 meV/atom
Size of the total moment: 0.000 μB/atom
Symmetry: Pm-3m

```
LiSiO3
1.0
3.471 0.000 0.000
0.000 3.471 0.000
0.000 0.000 3.471
Li Si O
1 1 3
direct
0.000 0.000 0.000
0.500 0.500 0.500
0.000 0.500 0.500
0.500 0.000 0.500
0.500 0.500 0.000
```

=====

[3]
A relaxed structure of Li4SiO4, computed with PBE-GGA.

E_form (uncorrected): -2357 meV/atom
Size of the total moment: 0.000 μB/atom
Symmetry: Cmcm

```
Li4SiO4
1.0
3.823 -3.694 0.000
3.823 3.694 0.000
0.000 0.000 5.952
Li Si O
8 2 8
direct
0.072 0.630 0.750
0.336 0.336 0.000
0.336 0.336 0.500
0.370 0.928 0.750
0.630 0.072 0.250
0.664 0.664 0.000
0.664 0.664 0.500
0.928 0.370 0.250
0.166 0.834 0.250
0.834 0.166 0.750
0.136 0.231 0.750
0.231 0.136 0.250
0.295 0.705 0.019
0.295 0.705 0.481
0.705 0.295 0.519
0.705 0.295 0.981
0.769 0.864 0.750
0.864 0.769 0.250
```